[1]
First-principles (PBE-GGA) data for CePm3Dy3S8 after structural relaxation, as listed in Alexandria.

Values from the calculation:
Density of states at the Fermi level, states/eV/f.u.: 11.89
E, eV/atom: -6.495
Raw formation energy, eV per atom: -2.027

a b c (Å): 7.9303 7.9305 7.9489
angles (deg): 119.92 90.00 120.00
With the nearest neighbours (Å) after each atom.
Fractional positions:
Pm 0.0000 0.0000 0.0000  6 S 2.85
Pm 0.0000 0.5000 0.0000  6 S 2.85
Pm 0.5000 0.5000 0.0000  6 S 2.85
Dy 0.5000 0.0000 0.5000  6 S 2.76-2.77
Dy 0.0000 0.5000 0.5000  6 S 2.76-2.77
Dy 0.5000 0.5000 0.5000  6 S 2.76-2.77
S 0.7467 0.4935 0.2548  2 Dy 2.76, 1 Ce 2.84, 2 Pm 2.85
S 0.2533 0.9919 0.7452  2 Dy 2.76, 1 Ce 2.84, 2 Pm 2.85
S 0.7467 0.0081 0.2548  2 Dy 2.76, 1 Ce 2.84, 2 Pm 2.85
S 0.2613 0.0081 0.2548  2 Dy 2.76, 1 Ce 2.84, 2 Pm 2.85
S 0.2533 0.5065 0.7452  2 Dy 2.76, 1 Ce 2.84, 2 Pm 2.85
S 0.7387 0.9919 0.7452  2 Dy 2.76, 1 Ce 2.84, 2 Pm 2.85
S 0.2537 0.5074 0.2612  3 Dy 2.77, 3 Pm 2.85
S 0.7463 0.4926 0.7388  3 Dy 2.77, 3 Pm 2.85
Ce 0.0000 0.0000 0.5000  6 S 2.84


[2]
First-principles (PBE-GGA) data for Ac5Ir2Pt after structural relaxation, as listed in Alexandria.

Values from the calculation:
Formation energy from the elements, meV per atom: -668
Density of states at the Fermi level, states/eV/f.u.: 4.30
E, eV/atom: -6.207

a b c (Å): 5.9994 7.5497 14.7507
angles (deg): 90.00 90.00 113.41
With the nearest neighbours (Å) after each atom.
Fractional positions:
Ac 0.7571 0.5142 0.2500  2 Pt 3.04, 2 Ir 3.11
Ac 0.6679 0.3359 0.5624  3 Ir 3.01-3.11, 1 Pt 3.17
Ac 0.6679 0.3359 0.9376  3 Ir 3.01-3.11, 1 Pt 3.17
Ac 0.9474 0.8948 0.8830  2 Ir 2.92, 1 Pt 3.04
Ac 0.2429 0.4858 0.7500  2 Pt 3.04, 2 Ir 3.11
Ac 0.3321 0.6641 0.4376  3 Ir 3.01-3.11, 1 Pt 3.17
Ac 0.0526 0.1052 0.3830  2 Ir 2.92, 1 Pt 3.04
Ac 0.9474 0.8948 0.6170  2 Ir 2.92, 1 Pt 3.04
Ac 0.3321 0.6641 0.0624  3 Ir 3.01-3.11, 1 Pt 3.17
Ac 0.0526 0.1052 0.1170  2 Ir 2.92, 1 Pt 3.04
Pt 0.7797 0.5593 0.7500  6 Ac 3.04-3.17
Pt 0.2203 0.4407 0.2500  6 Ac 3.04-3.17
Ir 0.1488 0.2976 0.9412  6 Ac 2.92-3.11
Ir 0.1488 0.2976 0.5588  6 Ac 2.92-3.11
Ir 0.8512 0.7024 0.4412  6 Ac 2.92-3.11
Ir 0.8512 0.7024 0.0588  6 Ac 2.92-3.11


[3]
First-principles (PBE-GGA) data for YTmPb6 after structural relaxation, as listed in Alexandria.

Values from the calculation:
Formation energy from the elements, meV per atom: -255
Density of states at the Fermi level, states/eV/f.u.: 4.82
E, eV/atom: -4.403

a b c (Å): 4.8732 4.8732 9.7541
angles (deg): 90.00 90.00 90.00
With the nearest neighbours (Å) after each atom.
Fractional positions:
Y 0.0000 0.0000 0.5000  12 Pb 3.45-3.46
Pb 0.5000 0.0000 0.2481  8 Pb 3.43-3.46, 2 Tm 3.43, 2 Y 3.46
Pb 0.5000 0.0000 0.7519  2 Tm 3.43, 8 Pb 3.43-3.46, 2 Y 3.46
Pb 0.0000 0.5000 0.2481  8 Pb 3.43-3.46, 2 Tm 3.43, 2 Y 3.46
Pb 0.5000 0.5000 0.0000  8 Pb 3.43, 4 Tm 3.45
Pb 0.5000 0.5000 0.5000  4 Y 3.45, 8 Pb 3.46
Pb 0.0000 0.5000 0.7519  8 Pb 3.43-3.46, 2 Tm 3.43, 2 Y 3.46
Tm 0.0000 0.0000 0.0000  12 Pb 3.43-3.45


[4]
First-principles (PBE-GGA) data for AgSb2IBr after structural relaxation, as listed in Alexandria.

Values from the calculation:
Density of states at the Fermi level, states/eV/f.u.: 4.46
E, eV/atom: -1.900
Raw formation energy, eV per atom: 0.964

a b c (Å): 5.6599 5.6599 5.7385
angles (deg): 90.00 90.00 90.00
With the nearest neighbours (Å) after each atom.
Fractional positions:
I 0.0000 0.0000 0.5000  2 Br 2.87
Sb 0.5000 0.0000 0.0000  2 Br 2.83
Sb 0.0000 0.5000 0.0000  2 Br 2.83
Br 0.0000 0.0000 0.0000  4 Sb 2.83, 2 I 2.87
Ag 0.5000 0.5000 0.5000  4 I 4.00, 8 Sb 4.03


[5]
First-principles (PBE-GGA) data for NaGd2Rh after structural relaxation, as listed in Alexandria.

Values from the calculation:
Formation energy from the elements, meV per atom: -342
Density of states at the Fermi level, states/eV/f.u.: 3.19
E, eV/atom: -9.550

a b c (Å): 3.4879 3.4879 9.3455
angles (deg): 90.00 90.00 90.00
With the nearest neighbours (Å) after each atom.
Fractional positions:
Gd 0.0000 0.0000 0.1753  4 Rh 2.96, 1 Gd 3.28
Gd 0.0000 0.0000 0.8247  4 Rh 2.96, 1 Gd 3.28
Na 0.5000 0.5000 0.5000  4 Na 3.49
Rh 0.5000 0.5000 0.0000  8 Gd 2.96


[6]
First-principles (PBE-GGA) data for Rh2AuCl after structural relaxation, as listed in Alexandria.

Values from the calculation:
Density of states at the Fermi level, states/eV/f.u.: 3.83
E, eV/atom: -4.639
Raw formation energy, eV per atom: 0.318

a b c (Å): 8.4752 8.4752 8.4752
angles (deg): 20.09 20.09 20.09
With the nearest neighbours (Å) after each atom.
Fractional positions:
Au 0.2500 0.2500 0.2500  6 Rh 2.80, 6 Au 2.96
Rh 0.4943 0.4943 0.4943  3 Cl 2.58, 3 Au 2.80
Rh 0.0057 0.0057 0.0057  3 Cl 2.58, 3 Au 2.80
Cl 0.7500 0.7500 0.7500  6 Rh 2.58


[7]
First-principles (PBE-GGA) data for Cs2UZn2Se4 after structural relaxation, as listed in Alexandria.

Values from the calculation:
Density of states at the Fermi level, states/eV/f.u.: 8.20
E, eV/atom: -4.136
Raw formation energy, eV per atom: -0.861

a b c (Å): 4.3257 8.5293 8.1644
angles (deg): 106.85 105.36 90.00
With the nearest neighbours (Å) after each atom.
Fractional positions:
Se 0.5184 0.7702 0.0367  1 Zn 2.50
Se 0.4816 0.2298 0.9633  1 Zn 2.50
Se 0.7984 0.8489 0.5968  3 Zn 2.56-2.64
Se 0.2016 0.1511 0.4032  3 Zn 2.56-2.64
U 0.0000 0.0000 0.0000  6 Se 2.99-3.05
Zn 0.3323 0.0162 0.6647  4 Se 2.50-2.64
Zn 0.6677 0.9838 0.3353  4 Se 2.50-2.64
Cs 0.1332 0.5553 0.2664  7 Se 3.65-3.91, 1 Cs 4.01
Cs 0.8668 0.4447 0.7336  7 Se 3.65-3.91, 1 Cs 4.01


[8]
First-principles (PBE-GGA) data for CeHoIr2 after structural relaxation, as listed in Alexandria.

Values from the calculation:
Formation energy from the elements, meV per atom: -626
Density of states at the Fermi level, states/eV/f.u.: 2.87
E, eV/atom: -7.684

a b c (Å): 3.9848 3.9848 7.0291
angles (deg): 73.53 73.53 60.00
With the nearest neighbours (Å) after each atom.
Fractional positions:
Ho 0.0000 0.0000 0.0000  6 Ir 2.86
Ir 0.2479 0.2479 0.2563  3 Ce 2.81, 3 Ho 2.86
Ir 0.7521 0.7521 0.7437  3 Ce 2.81, 3 Ho 2.86
Ce 0.5000 0.5000 0.5000  6 Ir 2.81